# 1
A relaxed structure of Na8Al6Si6O25, computed with PBE.

```
Na8Al6Si6O25
1.0
-5.793 -5.013 4.615
-3.516 -2.917 -7.688
5.873 -6.745 -0.062
Na Al Si O
8 6 6 25
Direct
0.842 0.156 0.156
0.874 0.874 0.874
0.701 0.311 0.699
0.699 0.701 0.311
0.311 0.699 0.701
0.183 0.183 0.183
0.156 0.156 0.842
0.156 0.842 0.156
0.007 0.253 0.501
0.752 0.505 0.003
0.505 0.003 0.752
0.501 0.007 0.253
0.253 0.501 0.007
0.003 0.752 0.505
0.002 0.499 0.252
0.754 0.004 0.505
0.505 0.754 0.004
0.499 0.252 0.002
0.252 0.002 0.499
0.004 0.505 0.754
0.938 0.633 0.361
0.942 0.369 0.646
0.861 0.438 0.152
0.863 0.565 0.853
0.854 0.142 0.440
0.853 0.863 0.565
0.657 0.069 0.647
0.646 0.942 0.369
0.633 0.361 0.938
0.647 0.657 0.069
0.570 0.149 0.136
0.565 0.853 0.863
0.438 0.152 0.861
0.440 0.854 0.142
0.356 0.345 0.067
0.369 0.646 0.942
0.345 0.067 0.356
0.361 0.938 0.633
0.149 0.136 0.570
0.152 0.861 0.438
0.136 0.570 0.149
0.142 0.440 0.854
0.067 0.356 0.345
0.069 0.647 0.657
0.029 0.029 0.029
```

Results
The density of states at the Fermi level is 0.00 states/eV per cell. The uncorrected formation energy comes out at -11460 kJ/mol of formula units.

=====

# 2
A relaxed structure of Sm3Dy2Th, computed with PBE.

```
Sm3Dy2Th
1.0
-0.603 10.334 3.991
-5.243 3.181 6.391
1.374 2.839 8.276
Sm Dy Th
6 4 2
Direct
0.500 0.250 0.750
0.500 0.750 0.250
0.233 0.017 0.517
0.767 0.483 0.983
0.767 0.983 0.483
0.233 0.517 0.017
0.939 0.304 0.304
0.548 0.196 0.196
0.452 0.804 0.804
0.061 0.696 0.696
0.000 0.500 0.500
0.000 0.000 0.000
```

Results
The density of states at the Fermi level is 21.26 states/eV per cell. Its polymorph energy (0 for the lowest one) is 567 meV/atom.

=====

# 3
A relaxed structure of KErPb2F8, computed with PBE.

```
KErPb2F8
1.0
4.084 -0.027 -0.002
0.034 5.974 -0.007
0.004 0.009 8.279
K Er Pb F
1 1 2 8
Direct
0.000 0.000 0.500
0.000 0.000 0.000
0.500 0.500 0.745
0.500 0.500 0.255
0.000 0.762 0.210
0.500 0.796 0.000
0.000 0.238 0.210
0.000 0.238 0.790
0.500 0.204 0.000
0.000 0.762 0.790
0.499 0.724 0.500
0.501 0.276 0.500
```

Results
The density of states at the Fermi level is 0.00 states/eV per cell. The uncorrected formation energy comes out at -3534 kJ/mol of formula units.

=====

# 4
A relaxed structure of Li2NiAg, computed with PBE.

```
Li2NiAg
1.0
-4.473 0.252 -0.985
-3.169 -0.421 -3.289
-1.244 -4.556 0.628
Ag Li Ni
1 2 1
Direct
0.250 0.250 0.250
0.006 0.006 0.984
0.494 0.494 0.516
0.750 0.750 0.750
```

Results
The density of states at the Fermi level is 1.82 states/eV per cell. The final energy comes out at -3.131 eV/atom.